# Sr2In4CoIr | OQMD | PBE | optimized geometry
data_Sr2In4CoIr
_space_group_name_H-M_alt 'P 1'
_space_group_IT_number 1
_space_group_name_Hall 'P 1'
_cell_length_a 7.945
_cell_length_b 5.985
_cell_length_c 5.985
_cell_angle_alpha 43.16
_cell_angle_beta 90.00
_cell_angle_gamma 90.00
loop_
_atom_site_label
_atom_site_fract_x
_atom_site_fract_y
_atom_site_fract_z
_atom_site_occupancy
Sr1 0.000 0.000 0.000 1
Sr2 0.500 0.118 0.118 1
In1 0.190 0.713 0.713 1
In2 0.299 0.400 0.400 1
In3 0.701 0.400 0.400 1
In4 0.810 0.713 0.713 1
Co1 0.000 0.276 0.276 1
Ir1 0.500 0.838 0.838 1
# E (eV/atom): -4.06
# Density (Mg/m³): 7.56
# Space group: Amm2 (38)